Record 1
Below is a relaxed structure of KCaHoO3, with properties calculated at the PBE level.

Cell: 3.5699 6.0021 9.2315 Å, 101.02 90.00 90.00°
Last column: nearest neighbours and their distance in Å.
Sites, in units of the cell vectors:
Ca: 0.7500 0.8755 0.3591  4 O 2.20-2.43
Ca: 0.2500 0.1245 0.6409  4 O 2.20-2.43
K: 0.2500 0.3603 0.3246  3 O 2.65-2.83
K: 0.7500 0.6397 0.6754  3 O 2.65-2.83
O: 0.7500 0.0175 0.1293  3 Ho 2.22-2.41, 1 Ca 2.43
O: 0.7500 0.5652 0.1270  3 Ho 2.22-2.37
O: 0.7500 0.2161 0.5254  3 Ca 2.20-2.31
O: 0.2500 0.4348 0.8730  3 Ho 2.22-2.37
O: 0.2500 0.7839 0.4746  3 Ca 2.20-2.31
O: 0.2500 0.9825 0.8707  3 Ho 2.22-2.41, 1 Ca 2.43
Ho: 0.7500 0.2410 0.9641  6 O 2.22-2.41
Ho: 0.2500 0.7590 0.0359  6 O 2.22-2.41

=====

Record 2
Below is a relaxed structure of ZrGeN2F, with properties calculated at the PBE level.

energy above the most stable polymorph in this dataset	169	meV per atom

Cell: 3.9059 3.9059 3.7183 Å, 90.00 90.00 90.00°
Last column: nearest neighbours and their distance in Å.
Sites, in units of the cell vectors:
Zr: 0.5000 0.5000 0.5000  8 N 2.70, 4 F 2.76
N: 0.5000 0.0000 0.0000  2 Ge 1.95
N: 0.0000 0.5000 0.0000  2 Ge 1.95
F: 0.0000 0.0000 0.5000  2 Ge 1.86
Ge: 0.0000 0.0000 0.0000  2 F 1.86, 4 N 1.95

=====

Record 3
Below is a relaxed structure of Ge6OsRh3, with properties calculated at the PBE level.

ΔH_f (0 K)	-205.0	meV/atom

Cell: 6.6191 6.2485 8.2060 Å, 90.00 89.80 90.00°
Last column: nearest neighbours and their distance in Å.
Sites, in units of the cell vectors:
Ge: 0.8097 0.0107 0.2512  3 Rh 2.40-2.64, 1 Os 2.41
Ge: 0.1903 0.9893 0.7488  3 Rh 2.40-2.64, 1 Os 2.41
Ge: 0.3504 0.8537 0.4315  1 Os 2.49, 2 Rh 2.54-2.55
Ge: 0.3097 0.4893 0.7512  3 Rh 2.40-2.64, 1 Os 2.41
Ge: 0.6903 0.5107 0.2488  3 Rh 2.40-2.64, 1 Os 2.41
Ge: 0.8504 0.6463 0.9315  1 Os 2.49, 2 Rh 2.54-2.55
Ge: 0.3477 0.8570 0.0610  2 Rh 2.50-2.57, 1 Os 2.52
Ge: 0.6496 0.1463 0.5685  1 Os 2.49, 2 Rh 2.54-2.55
Ge: 0.1496 0.3537 0.0685  1 Os 2.49, 2 Rh 2.54-2.55
Ge: 0.1523 0.3570 0.4390  2 Rh 2.50-2.57, 1 Os 2.52
Ge: 0.8477 0.6430 0.5610  2 Rh 2.50-2.57, 1 Os 2.52
Ge: 0.6523 0.1430 0.9390  2 Rh 2.50-2.57, 1 Os 2.52
Rh: 0.0275 0.6565 0.2504  4 Ge 2.41-2.64
Rh: 0.5275 0.8435 0.7504  4 Ge 2.41-2.64
Rh: 0.4725 0.1565 0.2496  4 Ge 2.41-2.64
Rh: 0.0000 0.0000 0.5000  6 Ge 2.40-2.55
Rh: 0.9725 0.3435 0.7496  4 Ge 2.41-2.64
Rh: 0.5000 0.5000 0.0000  6 Ge 2.40-2.55
Os: 0.0000 0.0000 0.0000  6 Ge 2.41-2.52
Os: 0.5000 0.5000 0.5000  6 Ge 2.41-2.52

=====

Record 4
Below is a relaxed structure of Sb3Ir2, with properties calculated at the PBE level.

energy above the most stable polymorph in this dataset	0	meV per atom

Cell: 6.9389 6.9423 6.7366 Å, 59.04 59.00 60.02°
Last column: nearest neighbours and their distance in Å.
Sites, in units of the cell vectors:
Sb: 0.2499 0.5803 0.7506  4 Ir 2.64-2.72
Sb: 0.4192 0.0803 0.2506  4 Ir 2.64-2.72
Sb: 0.7501 0.4197 0.2494  4 Ir 2.64-2.72
Sb: 0.0808 0.7500 0.2500  4 Ir 2.64-2.72
Sb: 0.9192 0.2500 0.7500  4 Ir 2.64-2.72
Sb: 0.5808 0.9197 0.7494  4 Ir 2.64-2.72
Ir: 0.3399 0.3402 0.4801  6 Sb 2.64-2.72, 1 Ir 2.92
Ir: 0.8398 0.8402 0.9801  6 Sb 2.64-2.72, 1 Ir 2.92
Ir: 0.1602 0.1598 0.0199  6 Sb 2.64-2.72, 1 Ir 2.92
Ir: 0.6601 0.6598 0.5199  6 Sb 2.64-2.72, 1 Ir 2.92

=====

Record 5
Below is a relaxed structure of Li6InAu, with properties calculated at the PBE level.

ΔH_f (0 K)	-285.6	meV/atom
energy above the most stable polymorph in this dataset	26	meV per atom

Cell: 4.7705 5.7890 5.7890 Å, 119.91 90.00 90.00°
Last column: nearest neighbours and their distance in Å.
Sites, in units of the cell vectors:
Li: 0.0000 0.0889 0.4190  8 Li 2.85-2.94, 2 Au 2.89-2.90, 2 In 2.90
Li: 0.5000 0.9236 0.0764  8 Li 2.77-3.02, 2 Au 2.87, 2 In 2.90
Li: 0.5000 0.9242 0.5987  8 Li 2.77-3.03, 2 Au 2.87, 2 In 2.89-2.90
Li: 0.0000 0.5810 0.9111  8 Li 2.85-2.94, 2 Au 2.89-2.90, 2 In 2.90
Li: 0.0000 0.5809 0.4191  8 Li 2.85-2.94, 2 In 2.90, 2 Au 2.90
Li: 0.5000 0.4013 0.0758  8 Li 2.77-3.03, 2 Au 2.87, 2 In 2.89-2.90
In: 0.5000 0.4166 0.5834  12 Li 2.89-2.90
Au: 0.0000 0.0832 0.9168  12 Li 2.87-2.90

=====

Record 6
Below is a relaxed structure of Sr2TcOs, with properties calculated at the PBE level.

ΔH_f (0 K)	1145.8	meV/atom
energy above the most stable polymorph in this dataset	650	meV per atom

Cell: 4.8482 3.2909 6.4124 Å, 60.28 90.00 90.00°
Last column: nearest neighbours and their distance in Å.
Sites, in units of the cell vectors:
Sr: 0.0000 0.9827 0.9978  2 Sr 2.77-2.81
Sr: 0.0000 0.5173 0.5022  2 Sr 2.77-2.81
Tc: 0.5000 0.2500 0.2500  2 Os 2.79
Os: 0.5000 0.7500 0.7500  2 Tc 2.79

=====

Record 7
Below is a relaxed structure of AlZnTc, with properties calculated at the PBE level.

ΔH_f (0 K)	-67.4	meV/atom
energy above the most stable polymorph in this dataset	104	meV per atom

Cell: 4.7692 4.7692 4.7692 Å, 147.23 131.59 59.69°
Last column: nearest neighbours and their distance in Å.
Sites, in units of the cell vectors:
Zn: 0.6686 0.6686 0.0000  2 Zn 2.69, 5 Al 2.70-2.78, 5 Tc 2.74-2.75
Tc: 0.3370 0.3370 0.0000  2 Tc 2.69, 5 Al 2.71-2.83, 5 Zn 2.74-2.75
Al: 0.9945 0.9945 0.0000  2 Al 2.69, 5 Zn 2.70-2.78, 5 Tc 2.71-2.83

=====

Record 8
Below is a relaxed structure of Nd12Sm5Y, with properties calculated at the PBE level.

ΔH_f (0 K)	13.4	meV/atom

Cell: 15.5384 10.9861 5.1815 Å, 90.00 90.00 44.99°
Last column: nearest neighbours and their distance in Å.
Sites, in units of the cell vectors:
Nd: 0.9993 0.3331 0.0000  1 Y 3.65, 3 Sm 3.65, 8 Nd 3.66-3.68
Nd: 0.8329 0.6665 0.5000  4 Sm 3.66, 8 Nd 3.66-3.68
Nd: 0.8344 0.0000 0.5000  2 Sm 3.65, 2 Y 3.65, 8 Nd 3.66-3.68
Nd: 0.3323 0.6669 0.0000  1 Y 3.65, 3 Sm 3.65, 8 Nd 3.66-3.68
Nd: 0.0008 0.6669 0.0000  1 Y 3.65, 3 Sm 3.65, 8 Nd 3.66-3.68
Nd: 0.1671 0.3335 0.5000  4 Sm 3.66, 8 Nd 3.66-3.68
Nd: 0.6677 0.3331 0.0000  1 Y 3.65, 3 Sm 3.65, 8 Nd 3.66-3.68
Nd: 0.6665 0.0000 0.0000  4 Sm 3.66, 8 Nd 3.66-3.68
Nd: 0.5007 0.6665 0.5000  4 Sm 3.66, 8 Nd 3.66-3.68
Nd: 0.3335 0.0000 0.0000  4 Sm 3.66, 8 Nd 3.66-3.68
Nd: 0.1656 0.0000 0.5000  2 Sm 3.65, 2 Y 3.65, 8 Nd 3.66-3.68
Nd: 0.4993 0.3335 0.5000  4 Sm 3.66, 8 Nd 3.66-3.68
Sm: 0.6668 0.6663 0.0000  8 Nd 3.65-3.66, 4 Sm 3.66
Sm: 0.1664 0.6671 0.5000  8 Nd 3.65-3.66, 2 Y 3.66, 2 Sm 3.66
Sm: 0.8336 0.3329 0.5000  8 Nd 3.65-3.66, 2 Y 3.66, 2 Sm 3.66
Sm: 0.5000 0.0000 0.5000  8 Nd 3.66, 4 Sm 3.66
Sm: 0.3332 0.3337 0.0000  8 Nd 3.65-3.66, 4 Sm 3.66
Y: 0.0000 0.0000 0.0000  8 Nd 3.65, 4 Sm 3.66

=====

Record 9
Below is a relaxed structure of Zr12AgHg3, with properties calculated at the PBE level.

ΔH_f (0 K)	-89.8	meV/atom

Cell: 4.4344 4.4344 17.7716 Å, 90.00 90.00 90.00°
Last column: nearest neighbours and their distance in Å.
Sites, in units of the cell vectors:
Zr: 0.5000 0.5000 0.5000  4 Hg 3.14, 8 Zr 3.14
Zr: 0.0000 0.5000 0.6254  8 Zr 3.14-3.15, 4 Hg 3.14
Zr: 0.5000 0.5000 0.7517  4 Hg 3.14, 8 Zr 3.14-3.15
Zr: 0.0000 0.5000 0.1231  8 Zr 3.11-3.14, 2 Ag 3.11, 2 Hg 3.15
Zr: 0.5000 0.0000 0.1231  8 Zr 3.11-3.14, 2 Ag 3.11, 2 Hg 3.15
Zr: 0.0000 0.5000 0.3746  8 Zr 3.14-3.15, 4 Hg 3.14
Zr: 0.5000 0.0000 0.6254  8 Zr 3.14-3.15, 4 Hg 3.14
Zr: 0.5000 0.5000 0.2483  4 Hg 3.14, 8 Zr 3.14-3.15
Zr: 0.0000 0.5000 0.8769  8 Zr 3.11-3.14, 2 Ag 3.11, 2 Hg 3.15
Zr: 0.5000 0.5000 0.0000  8 Zr 3.11, 4 Ag 3.14
Zr: 0.5000 0.0000 0.8769  8 Zr 3.11-3.14, 2 Ag 3.11, 2 Hg 3.15
Zr: 0.5000 0.0000 0.3746  8 Zr 3.14-3.15, 4 Hg 3.14
Ag: 0.0000 0.0000 0.0000  12 Zr 3.11-3.14
Hg: 0.0000 0.0000 0.2492  12 Zr 3.14-3.15
Hg: 0.0000 0.0000 0.5000  12 Zr 3.14
Hg: 0.0000 0.0000 0.7508  12 Zr 3.14-3.15

=====

Record 10
Below is a relaxed structure of B2RhF, with properties calculated at the PBE level.

energy above the most stable polymorph in this dataset	0	meV per atom

Cell: 4.9385 4.9385 5.2035 Å, 61.67 61.67 90.00°
Last column: nearest neighbours and their distance in Å.
Sites, in units of the cell vectors:
B: 0.3750 0.3734 0.7500  2 Rh 1.99, 2 F 2.00
B: 0.8750 0.8766 0.7500  2 Rh 1.99, 2 F 2.00
B: 0.1234 0.6250 0.2500  2 Rh 1.99, 2 F 2.00
B: 0.6266 0.1250 0.2500  2 Rh 1.99, 2 F 2.00
F: 0.2500 0.7500 0.5000  4 B 2.00
F: 0.5000 0.5000 0.0000  4 B 2.00
Rh: 0.0000 0.0000 0.0000  4 B 1.99
Rh: 0.7500 0.2500 0.5000  4 B 1.99

=====

Record 11
Below is a relaxed structure of Rb3NbAs3, with properties calculated at the PBE level.

ΔH_f (0 K)	-387.7	meV/atom

Cell: 8.4950 8.5137 8.5137 Å, 113.05 97.62 97.62°
Last column: nearest neighbours and their distance in Å.
Sites, in units of the cell vectors:
As: 0.8380 0.1028 0.1028  2 Nb 2.53-2.55
As: 0.2737 0.4315 0.1507  1 Nb 2.44
As: 0.7263 0.8493 0.5685  1 Nb 2.44
As: 0.1620 0.8972 0.8972  2 Nb 2.53-2.55
As: 0.2737 0.1507 0.4315  1 Nb 2.44
As: 0.7263 0.5685 0.8493  1 Nb 2.44
Rb: 0.5000 0.1765 0.8235  6 As 3.54-3.76
Rb: 0.6467 0.3839 0.3839  5 As 3.42-3.67, 1 Rb 3.68
Rb: 0.0000 0.2603 0.7397  4 As 3.57-3.67
Rb: 0.0000 0.7397 0.2603  4 As 3.57-3.67
Rb: 0.3533 0.6161 0.6161  5 As 3.42-3.67, 1 Rb 3.68
Rb: 0.5000 0.8235 0.1765  6 As 3.54-3.76
Nb: 0.1468 0.1632 0.1632  4 As 2.44-2.55
Nb: 0.8532 0.8368 0.8368  4 As 2.44-2.55

=====

Number 1: DOS(E_F) 0.000 states/eV per cell, magnetization 0.0 μB/f.u., total energy -77.49 eV per cell. Number 2: DOS(E_F) 2.373 states/eV per cell, magnetization 0.6 μB/f.u., total energy -33.37 eV per cell. Number 3: DOS(E_F) 6.160 states/eV per cell, magnetization 0.0 μB/f.u., total energy -126.08 eV per cell. Number 4: DOS(E_F) 6.571 states/eV per cell, magnetization 0.0 μB/f.u., total energy -62.34 eV per cell. Number 5: DOS(E_F) 3.386 states/eV per cell, magnetization 0.0 μB/f.u., total energy -19.78 eV per cell. Number 6: DOS(E_F) 4.242 states/eV per cell, magnetization 0.5 μB/f.u., total energy -20.38 eV per cell. Number 7: DOS(E_F) 1.725 states/eV per cell, magnetization 0.0 μB/f.u., total energy -15.58 eV per cell. Number 8: DOS(E_F) 28.174 states/eV per cell, magnetization 0.0 μB/f.u., total energy -87.03 eV per cell. Number 9: DOS(E_F) 20.729 states/eV per cell, magnetization 0.0 μB/f.u., total energy -107.77 eV per cell. Number 10: DOS(E_F) 0.094 states/eV per cell, magnetization 0.0 μB/f.u., total energy -43.06 eV per cell. Number 11: DOS(E_F) 6.622 states/eV per cell, magnetization 1.0 μB/f.u., total energy -59.27 eV per cell.